# AgHgNF2 (PBE, relaxed)
data_AgHgNF2
_symmetry_space_group_name_H-M 'P 4/m m m'
_symmetry_Int_Tables_number 123
_symmetry_space_group_name_Hall '-P 4 2'
_cell_length_a 4.6985
_cell_length_b 4.6985
_cell_length_c 4.1291
_cell_angle_alpha 90.00
_cell_angle_beta 90.00
_cell_angle_gamma 90.00
loop_
_atom_site_label
_atom_site_fract_x
_atom_site_fract_y
_atom_site_fract_z
Ag1 0.0000 0.0000 0.0000
Hg1 0.5000 0.5000 0.5000
N1 0.5000 0.5000 0.0000
F1 0.0000 0.5000 0.5000
# Raw formation energy: 0.190 eV/atom
# Density: 6.6 Mg/m³
# Magnetic moment: 1.65 μB per cell
# Distance to the lowest polymorph of the same formula: 47 meV per atom